[1]
EuTmHgBi | Alexandria via LeMat-Bulk | GGA-PBE | optimized geometry; crystal system = cubic; space-group type = No. 216; formation enthalpy at 0 K = -200 kJ/mol of formula units
1.0
5.462 0.000 0.000
2.731 4.730 0.000
2.731 1.577 4.460
Bi Eu Tm Hg
1 1 1 1
direct
0.250 0.250 0.250
0.500 0.500 0.500
0.000 0.000 0.000
0.750 0.750 0.750

[2]
SiTc2Mo | Alexandria via LeMat-Bulk | GGA-PBE | optimized geometry; uncorrected energy = -9.455 eV/atom; crystal system = orthorhombic; space-group type = No. 71
1.0
5.078 -0.006 0.009
2.322 4.516 -0.009
-3.213 -3.054 2.477
Tc Mo Si
2 1 1
direct
0.015 0.015 0.000
0.485 0.485 0.000
0.750 0.250 0.500
0.250 0.750 0.500

Which formula does entry 1 have?
EuTmHgBi

What is the formula in the first record?
EuTmHgBi